Ho2InSe: optimized geometry, PBE.

Results
Theoretical density   8.442 g cm⁻³
E above lowest polymorph   0.0000 eV per atom

abc: 4.1861 4.3043 11.6331
angles: 100.66 90.00 90.00
Closest atoms and distances in Å follow each position.
Fractional coordinates of all 8 atoms:
1 In 0.2500 0.4549 0.9097  2 In 2.94, 5 Ho 3.06-3.14
2 In 0.7500 0.5451 0.0903  2 In 2.94, 5 Ho 3.06-3.14
3 Ho 0.7500 0.9301 0.8602  1 Se 2.82, 4 In 3.06
4 Ho 0.7500 0.6825 0.3651  5 Se 2.84-3.01, 1 In 3.14
5 Ho 0.2500 0.3175 0.6349  5 Se 2.84-3.01, 1 In 3.14
6 Ho 0.2500 0.0699 0.1398  1 Se 2.82, 4 In 3.06
7 Se 0.7500 0.8067 0.6134  6 Ho 2.82-3.01
8 Se 0.2500 0.1933 0.3866  6 Ho 2.82-3.01

***

Ho2InSe: optimized geometry, PBE.

Results
Theoretical density   8.206 g cm⁻³
E above lowest polymorph   0.0684 eV per atom

abc: 3.8484 3.8484 8.5548
angles: 77.00 77.00 60.00
Closest atoms and distances in Å follow each position.
Fractional coordinates of all 4 atoms:
1 Se 0.6674 0.6674 0.9977  6 Ho 2.82-2.85
2 In 0.4996 0.4996 0.5011  6 Ho 3.24-3.25
3 Ho 0.2621 0.2621 0.2138  3 Se 2.85
4 Ho 0.0709 0.0709 0.7873  3 Se 2.82

***

HoInSe3: optimized geometry, PBE.

Results
Theoretical density   6.114 g cm⁻³
E above lowest polymorph   0.0336 eV per atom

abc: 7.3461 7.2887 10.8665
angles: 90.00 105.28 90.00
Closest atoms and distances in Å follow each position.
Fractional coordinates of all 20 atoms:
1 Se 0.5851 0.8828 0.3770  2 In 2.62-2.92, 2 Ho 2.83-2.89
2 Se 0.9531 0.2711 0.4308  1 In 2.71, 2 Ho 2.84-2.94
3 Se 0.0433 0.8725 0.2115  2 In 2.65-2.79, 1 Ho 2.91
4 Se 0.4149 0.1172 0.6230  2 In 2.62-2.92, 2 Ho 2.83-2.89
5 Se 0.9567 0.1275 0.7885  2 In 2.65-2.79, 1 Ho 2.91
6 Se 0.0469 0.7289 0.5692  1 In 2.71, 2 Ho 2.84-2.94
7 Se 0.9149 0.3828 0.1230  2 In 2.62-2.92, 2 Ho 2.83-2.89
8 Se 0.0851 0.6172 0.8770  2 In 2.62-2.92, 2 Ho 2.83-2.89
9 Se 0.5433 0.6275 0.7115  2 In 2.65-2.79, 1 Ho 2.91
10 Se 0.4567 0.3725 0.2885  2 In 2.65-2.79, 1 Ho 2.91
11 Se 0.4531 0.2289 0.9308  1 In 2.71, 2 Ho 2.84-2.94
12 Se 0.5469 0.7711 0.0692  1 In 2.71, 2 Ho 2.84-2.94
13 Ho 0.1777 0.3873 0.6848  7 Se 2.83-3.15
14 Ho 0.6777 0.1127 0.1848  7 Se 2.83-3.15
15 Ho 0.3223 0.8873 0.8152  7 Se 2.83-3.15
16 Ho 0.8223 0.6127 0.3152  7 Se 2.83-3.15
17 In 0.2530 0.1040 0.3773  5 Se 2.62-2.92
18 In 0.2470 0.6040 0.1227  5 Se 2.62-2.92
19 In 0.7530 0.3960 0.8773  5 Se 2.62-2.92
20 In 0.7470 0.8960 0.6227  5 Se 2.62-2.92

***

Number 1: spin magnetization 0.0 Bohr magnetons per cell, formation energy without anion corrections -1086 meV/atom, electronic total energy -19.722 eV per formula unit. Number 2: spin magnetization 0.0 Bohr magnetons per cell, formation energy without anion corrections -1018 meV/atom, electronic total energy -19.449 eV per formula unit. Number 3: spin magnetization 0.0 Bohr magnetons per cell, formation energy without anion corrections -1115 meV/atom, electronic total energy -23.345 eV per formula unit.